Entry 1:
This record from Alexandria describes a relaxed structure of KBeAs. The functional is PBE.

Geometry as POSCAR:
```
KBeAs
1.0
6.275 0.000 0.000
0.000 3.845 0.000
0.000 0.000 12.460
K Be As
4 4 4
direct
0.902 0.250 0.157
0.598 0.750 0.657
0.402 0.250 0.343
0.098 0.750 0.843
0.936 0.250 0.466
0.564 0.750 0.966
0.436 0.250 0.034
0.064 0.750 0.534
0.848 0.750 0.389
0.152 0.250 0.611
0.652 0.250 0.889
0.348 0.750 0.111
```

Computed properties:
For the formation enthalpy at 0 K, the calculation gives -0.425 eV per atom. The value obtained for the total energy is -3.58 eV/atom. As for the crystal system: orthorhombic. The space group is Pnma, No. 62.

=====

Entry 2:
This record from Alexandria describes a relaxed structure of ErInAgHg. The functional is PBE.

Geometry as POSCAR:
```
ErInAgHg
1.0
5.028 0.000 0.000
2.514 4.354 0.000
2.514 1.451 4.105
Hg In Er Ag
1 1 1 1
direct
0.750 0.750 0.750
0.000 0.000 0.000
0.500 0.500 0.500
0.250 0.250 0.250
```

Computed properties:
For the formation enthalpy at 0 K, the calculation gives -0.319 eV per atom. The value obtained for the total energy is -2.93 eV/atom. As for the crystal system: cubic. The space group is F-43m, No. 216.

=====

Entry 3:
This record from Alexandria describes a relaxed structure of AgPIO2. The functional is PBE.

Geometry as POSCAR:
```
AgPIO2
1.0
-2.088 0.047 3.536
-2.792 -2.542 -1.614
2.669 -3.966 1.629
Ag O P I
1 2 1 1
direct
0.000 0.000 0.000
0.000 0.500 0.000
0.500 0.000 0.000
0.000 0.000 0.500
0.500 0.500 0.500
```

Computed properties:
As for the formation energy (no corrections): 0.711 eV/atom. The value obtained for the total energy is -3.23 eV/atom. As for the crystal system: tetragonal. The space group is P4/mmm, No. 123.

=====

no.,DOS(E_F) (states/eV per cell)
1,0.0
2,2.4
3,6.7